1.
Entry from the Alexandria database: a relaxed Nd2ErGa3Rh4 crystal (PBE).

- Calculated formation energy: -0.79 eV/atom

abc: 4.288 4.288 10.876
angles: 90.00 90.00 90.00
Fractional positions:
Nd: 0.000 0.500 0.222
Nd: 0.500 0.000 0.778
Er: 0.000 0.000 0.500
Ga: 0.000 0.500 0.883
Ga: 0.500 0.000 0.117
Ga: 0.500 0.500 0.500
Rh: 0.000 0.000 0.000
Rh: 0.000 0.500 0.652
Rh: 0.500 0.000 0.348
Rh: 0.500 0.500 0.000



2.
Entry from the Alexandria database: a relaxed NdErGaRh crystal (PBE).

- Calculated formation energy: -0.70 eV/atom
- Polymorph energy (0 for the lowest one): 0.00 kJ per mole of atoms

abc: 3.918 5.960 5.960
angles: 42.38 90.00 90.00
Fractional positions:
Nd: 0.000 0.000 0.000
Er: 0.500 0.286 0.286
Ga: 0.500 0.588 0.588
Rh: 0.000 0.739 0.739



3.
Entry from the Alexandria database: a relaxed NdErGa2Rh2 crystal (PBE).

- Calculated formation energy: -0.81 eV/atom

abc: 4.411 4.411 7.209
angles: 90.00 90.00 120.00
Fractional positions:
Nd: 0.000 0.000 0.000
Er: 0.000 0.000 0.500
Ga: 0.333 0.667 0.272
Ga: 0.667 0.333 0.728
Rh: 0.333 0.667 0.710
Rh: 0.667 0.333 0.290



4.
Entry from the Alexandria database: a relaxed NdErGa2Ru2 crystal (PBE).

- Calculated formation energy: -0.46 eV/atom

abc: 4.346 4.346 7.451
angles: 90.00 90.00 120.00
Fractional positions:
Nd: 0.000 0.000 0.000
Er: 0.000 0.000 0.500
Ga: 0.333 0.667 0.272
Ga: 0.667 0.333 0.728
Ru: 0.333 0.667 0.732
Ru: 0.667 0.333 0.268



5.
Entry from the Alexandria database: a relaxed NdErScGa crystal (PBE).

- Calculated formation energy: -0.14 eV/atom

abc: 5.250 5.250 5.250
angles: 60.00 60.00 60.00
Fractional positions:
Nd: 0.000 0.000 0.000
Er: 0.500 0.500 0.500
Sc: 0.250 0.250 0.250
Ga: 0.750 0.750 0.750



6.
Entry from the Alexandria database: a relaxed NdErGaSi crystal (PBE).

- E_form (uncorrected): -0.711 eV/atom

abc: 3.995 5.878 5.878
angles: 43.54 90.00 90.00
Fractional positions:
Nd: 0.000 0.000 0.000
Er: 0.500 0.281 0.281
Ga: 0.500 0.572 0.572
Si: 0.000 0.719 0.719



7.
Entry from the Alexandria database: a relaxed NdSmErGa crystal (PBE).

- Calculated formation energy: -0.10 eV/atom

abc: 5.399 5.399 5.399
angles: 60.00 60.00 60.00
Fractional positions:
Nd: 0.000 0.000 0.000
Sm: 0.500 0.500 0.500
Er: 0.750 0.750 0.750
Ga: 0.250 0.250 0.250



8.
Entry from the Alexandria database: a relaxed NdErZnGa crystal (PBE).

- Calculated formation energy: -0.45 eV/atom

abc: 5.122 5.122 5.122
angles: 60.00 60.00 60.00
Fractional positions:
Nd: 0.000 0.000 0.000
Er: 0.500 0.500 0.500
Zn: 0.250 0.250 0.250
Ga: 0.750 0.750 0.750



9.
Entry from the Alexandria database: a relaxed NdEr2Zn2Ga2 crystal (PBE).

- Calculated formation energy: -0.40 eV/atom

abc: 9.558 9.558 9.558
angles: 27.01 27.01 27.01
Fractional positions:
Nd: 0.000 0.000 0.000
Er: 0.128 0.128 0.128
Er: 0.872 0.872 0.872
Zn: 0.404 0.404 0.404
Zn: 0.596 0.596 0.596
Ga: 0.257 0.257 0.257
Ga: 0.743 0.743 0.743



10.
Entry from the Alexandria database: a relaxed Er4GaNi crystal (PBE).

- Calculated formation energy: -0.32 eV/atom
- Polymorph energy (0 for the lowest one): 0.25 kJ per mole of atoms

abc: 7.900 7.900 5.960
angles: 105.47 105.47 113.06
Fractional positions:
Er: 0.060 0.700 0.915
Er: 0.220 0.351 0.691
Er: 0.300 0.940 0.585
Er: 0.351 0.220 0.191
Er: 0.649 0.780 0.809
Er: 0.700 0.060 0.415
Er: 0.780 0.649 0.309
Er: 0.940 0.300 0.085
Ga: 0.370 0.630 0.250
Ga: 0.630 0.370 0.750
Ni: 0.001 0.999 0.250
Ni: 0.999 0.001 0.750



11.
Entry from the Alexandria database: a relaxed Er4Ga12Ni crystal (PBE).

- Calculated formation energy: -0.56 eV/atom

abc: 7.394 7.394 7.394
angles: 109.47 109.47 109.47
Fractional positions:
Er: 0.000 0.000 0.500
Er: 0.000 0.500 0.000
Er: 0.500 0.000 0.000
Er: 0.500 0.500 0.500
Ga: 0.000 0.287 0.287
Ga: 0.000 0.713 0.713
Ga: 0.250 0.500 0.750
Ga: 0.250 0.750 0.500
Ga: 0.287 0.000 0.287
Ga: 0.287 0.287 0.000
Ga: 0.500 0.250 0.750
Ga: 0.500 0.750 0.250
Ga: 0.713 0.000 0.713
Ga: 0.713 0.713 0.000
Ga: 0.750 0.250 0.500
Ga: 0.750 0.500 0.250
Ni: 0.000 0.000 0.000



12.
Entry from the Alexandria database: a relaxed ErGa12Ni6 crystal (PBE).

- Calculated formation energy: -0.31 eV/atom

abc: 6.923 6.923 6.923
angles: 104.44 104.44 104.44
Fractional positions:
Er: 0.000 0.000 0.000
Ga: 0.115 0.500 0.885
Ga: 0.115 0.885 0.500
Ga: 0.148 0.403 0.403
Ga: 0.403 0.148 0.403
Ga: 0.403 0.403 0.148
Ga: 0.500 0.115 0.885
Ga: 0.500 0.885 0.115
Ga: 0.597 0.597 0.852
Ga: 0.597 0.852 0.597
Ga: 0.852 0.597 0.597
Ga: 0.885 0.115 0.500
Ga: 0.885 0.500 0.115
Ni: 0.284 0.284 0.709
Ni: 0.284 0.709 0.284
Ni: 0.291 0.716 0.716
Ni: 0.709 0.284 0.284
Ni: 0.716 0.291 0.716
Ni: 0.716 0.716 0.291



13.
Entry from the Alexandria database: a relaxed Er7Ga2Ni2 crystal (PBE).

- Calculated formation energy: -0.27 eV/atom

abc: 6.614 6.614 6.751
angles: 90.00 90.00 109.78
Fractional positions:
Er: 0.000 0.000 0.000
Er: 0.000 0.500 0.254
Er: 0.000 0.500 0.746
Er: 0.500 0.000 0.254
Er: 0.500 0.000 0.746
Er: 0.500 0.500 0.248
Er: 0.500 0.500 0.752
Ga: 0.167 0.167 0.500
Ga: 0.833 0.833 0.500
Ni: 0.296 0.704 0.000
Ni: 0.704 0.296 0.000



14.
Entry from the Alexandria database: a relaxed Er6GaNi crystal (PBE).

- Calculated formation energy: -0.07 eV/atom

abc: 6.543 6.543 6.563
angles: 101.61 101.61 119.02
Fractional positions:
Er: 0.040 0.419 0.245
Er: 0.235 0.235 0.768
Er: 0.419 0.040 0.245
Er: 0.581 0.960 0.755
Er: 0.765 0.765 0.232
Er: 0.960 0.581 0.755
Ga: 0.500 0.500 0.500
Ni: 0.000 0.000 0.000



15.
Entry from the Alexandria database: a relaxed Er2Ga9Ni3 crystal (PBE).

- Calculated formation energy: -0.49 eV/atom

abc: 7.427 7.427 10.363
angles: 111.12 111.12 59.96
Fractional positions:
Er: 0.085 0.251 0.251
Er: 0.251 0.085 0.751
Er: 0.749 0.915 0.249
Er: 0.915 0.749 0.749
Ga: 0.021 0.859 0.070
Ga: 0.141 0.979 0.430
Ga: 0.189 0.357 0.572
Ga: 0.204 0.583 0.251
Ga: 0.310 0.481 0.939
Ga: 0.357 0.189 0.072
Ga: 0.370 0.630 0.750
Ga: 0.417 0.796 0.249
Ga: 0.481 0.310 0.439
Ga: 0.519 0.690 0.561
Ga: 0.583 0.204 0.751
Ga: 0.630 0.370 0.250
Ga: 0.643 0.811 0.928
Ga: 0.690 0.519 0.061
Ga: 0.796 0.417 0.749
Ga: 0.811 0.643 0.428
Ga: 0.859 0.021 0.570
Ga: 0.979 0.141 0.930
Ni: 0.000 0.500 0.000
Ni: 0.162 0.669 0.499
Ni: 0.331 0.838 0.001
Ni: 0.500 0.000 0.500
Ni: 0.669 0.162 0.999
Ni: 0.838 0.331 0.501



16.
Entry from the Alexandria database: a relaxed Er5GaNi2 crystal (PBE).

- Calculated formation energy: -0.41 eV/atom

abc: 8.383 8.383 8.383
angles: 126.76 126.76 78.65
Fractional positions:
Er: 0.000 0.000 0.000
Er: 0.022 0.522 0.824
Er: 0.199 0.022 0.500
Er: 0.301 0.801 0.824
Er: 0.478 0.301 0.500
Er: 0.500 0.500 0.000
Er: 0.522 0.699 0.500
Er: 0.699 0.199 0.176
Er: 0.801 0.978 0.500
Er: 0.978 0.478 0.176
Ga: 0.250 0.250 0.000
Ga: 0.750 0.750 0.000
Ni: 0.126 0.374 0.500
Ni: 0.374 0.874 0.247
Ni: 0.626 0.126 0.753
Ni: 0.874 0.626 0.500



17.
Entry from the Alexandria database: a relaxed Er4GaNi2 crystal (PBE).

- Calculated formation energy: -0.40 eV/atom

abc: 6.670 6.693 8.292
angles: 107.93 107.74 103.86
Fractional positions:
Er: 0.000 0.000 0.000
Er: 0.019 0.521 0.043
Er: 0.122 0.308 0.455
Er: 0.405 0.262 0.872
Er: 0.526 0.841 0.594
Er: 0.555 0.909 0.171
Er: 0.688 0.374 0.587
Er: 0.954 0.768 0.451
Ga: 0.211 0.694 0.787
Ga: 0.446 0.431 0.257
Ni: 0.269 0.978 0.345
Ni: 0.596 0.647 0.854
Ni: 0.762 0.314 0.189
Ni: 0.946 0.157 0.699



18.
Entry from the Alexandria database: a relaxed ErGa2Ni7 crystal (PBE).

- Calculated formation energy: 0.18 eV/atom

abc: 6.698 6.698 4.290
angles: 90.00 90.00 122.41
Fractional positions:
Er: 0.000 0.000 0.000
Ga: 0.296 0.704 0.500
Ga: 0.704 0.296 0.500
Ni: 0.073 0.294 0.500
Ni: 0.217 0.783 0.000
Ni: 0.294 0.073 0.500
Ni: 0.500 0.500 0.500
Ni: 0.706 0.927 0.500
Ni: 0.783 0.217 0.000
Ni: 0.927 0.706 0.500



19.
Entry from the Alexandria database: a relaxed Er2GaNi9 crystal (PBE).

- Calculated formation energy: -0.25 eV/atom

abc: 8.509 8.509 8.509
angles: 33.26 33.26 33.26
Fractional positions:
Er: 0.135 0.135 0.135
Er: 0.865 0.865 0.865
Ga: 0.000 0.000 0.000
Ni: 0.081 0.583 0.583
Ni: 0.333 0.333 0.333
Ni: 0.417 0.417 0.919
Ni: 0.417 0.919 0.417
Ni: 0.500 0.500 0.500
Ni: 0.583 0.081 0.583
Ni: 0.583 0.583 0.081
Ni: 0.667 0.667 0.667
Ni: 0.919 0.417 0.417



20.
Entry from the Alexandria database: a relaxed Er3GaNi8 crystal (PBE).

- Calculated formation energy: -0.46 eV/atom

abc: 8.602 8.602 8.602
angles: 33.57 33.57 33.57
Fractional positions:
Er: 0.000 0.000 0.000
Er: 0.129 0.129 0.129
Er: 0.514 0.514 0.514
Ga: 0.638 0.638 0.638
Ni: 0.066 0.567 0.567
Ni: 0.070 0.070 0.566
Ni: 0.070 0.566 0.070
Ni: 0.317 0.317 0.317
Ni: 0.566 0.070 0.070
Ni: 0.567 0.066 0.567
Ni: 0.567 0.567 0.066
Ni: 0.817 0.817 0.817



21.
Entry from the Alexandria database: a relaxed Er3Ga3Ni crystal (PBE).

- Calculated formation energy: -0.62 eV/atom

abc: 5.679 5.679 14.042
angles: 108.42 108.42 43.81
Fractional positions:
Er: 0.030 0.030 0.384
Er: 0.105 0.105 0.922
Er: 0.242 0.242 0.235
Er: 0.758 0.758 0.765
Er: 0.895 0.895 0.078
Er: 0.970 0.970 0.616
Ga: 0.352 0.352 0.460
Ga: 0.389 0.389 0.923
Ga: 0.466 0.466 0.764
Ga: 0.534 0.534 0.236
Ga: 0.611 0.611 0.077
Ga: 0.648 0.648 0.540
Ni: 0.253 0.253 0.607
Ni: 0.747 0.747 0.393



22.
Entry from the Alexandria database: a relaxed Er2GaNi crystal (PBE).

- Calculated formation energy: -0.53 eV/atom

abc: 5.838 4.293 7.279
angles: 90.00 111.18 90.00
Fractional positions:
Er: 0.170 0.250 0.411
Er: 0.270 0.750 0.070
Er: 0.730 0.250 0.930
Er: 0.830 0.750 0.589
Ga: 0.381 0.750 0.707
Ga: 0.619 0.250 0.293
Ni: 0.167 0.250 0.791
Ni: 0.833 0.750 0.209



no.,E_tot (eV for the cell shown)
1,-60.53
2,-22.49
3,-34.94
4,-36.71
5,-19.25
6,-20.62
7,-17.48
8,-15.44
9,-25.31
10,-58.01
11,-69.84
12,-81.44
13,-52.47
14,-36.75
15,-121.13
16,-81.34
17,-71.22
18,-49.25
19,-67.17
20,-68.51
21,-65.84
22,-40.12